The following is a PBE-GGA calculation of a relaxed structure of KRb2TaIr, from Alexandria via LeMat-Bulk.

Results
calculated volume	41.65	Å³ per atom
DFT formation energy	2.4346	eV/atom
final energy	-11.573	eV per formula unit
space-group type	P4/mmm (123)

abc: 5.973 5.973 5.838
angles: 90.00 90.00 90.00
Positions (direct):
K  0.000  0.000  0.000
Rb  0.000  0.500  0.000
Rb  0.500  0.000  0.000
Ta  0.000  0.000  0.500
Ir  0.500  0.500  0.500

The following is a PBE-GGA calculation of a relaxed structure of Ca3Ga2N4, from Alexandria via LeMat-Bulk.

Results
energy relative to the elements, uncorrected	-0.7411	eV per atom
calculated volume	14.79	Å³ per atom
final energy	-52.030	eV per formula unit
space-group type	C2/m (12)

abc: 6.031 6.031 8.720
angles: 128.03 128.03 33.23
Positions (direct):
Ca  0.000  0.000  0.000
Ca  0.179  0.179  0.792
Ca  0.821  0.821  0.208
Ga  0.366  0.366  0.643
Ga  0.634  0.634  0.357
N  0.240  0.240  0.348
N  0.424  0.424  0.130
N  0.576  0.576  0.870
N  0.760  0.760  0.652

The following is a PBE-GGA calculation of a relaxed structure of TlHI2, from Alexandria via LeMat-Bulk.

Results
offset from the most stable computed form	19	meV/atom
calculated volume	40.97	Å³ per atom
final energy	-9.974	eV per formula unit
space-group type	P1 (1)

abc: 5.161 8.041 9.321
angles: 104.11 106.03 108.72
Positions (direct):
Tl  0.000  0.000  0.000
Tl  0.000  0.498  0.499
H  0.000  0.999  0.500
H  0.499  0.499  0.999
I  0.260  0.151  0.424
I  0.317  0.651  0.924
I  0.683  0.345  0.076
I  0.740  0.845  0.576

The following is a PBE-GGA calculation of a relaxed structure of ScRuCl, from Alexandria via LeMat-Bulk.

Results
offset from the most stable computed form	0	meV/atom
energy relative to the elements, uncorrected	-0.5321	eV per atom
calculated volume	19.79	Å³ per atom
final energy	-19.050	eV per formula unit
space-group type	P3m1 (156)

abc: 3.201 3.201 6.691
angles: 90.00 90.00 120.00
Positions (direct):
Sc  0.000  0.000  0.000
Ru  0.333  0.667  0.722
Cl  0.667  0.333  0.270